Here is crystalline AlSiTc2Pb at its relaxed geometry from Alexandria via LeMat-Bulk. Energies are from PBE.

The space group is P4/mmm (No. 123) and the conventional cell measures 4.5728, 4.5728 and 5.1173 Å, with angles of 90.00, 90.00 and 90.00 degrees. The distinct sites, in fractional coordinates, are Al at (0.0000, 0.0000, 0.0000), Si at (0.5000, 0.5000, 0.5000), Tc at (0.0000, 0.5000, 0.5000) and Pb at (0.5000, 0.5000, 0.0000).

The formation energy without anion corrections is 1040 meV per atom.



Here is crystalline FeNi12Ge3 at its relaxed geometry from Alexandria via LeMat-Bulk. Energies are from PBE.

The space group is P4/mmm (No. 123) and the conventional cell measures 3.5722, 3.5722 and 14.2580 Å, with angles of 90.00, 90.00 and 90.00 degrees. The distinct sites, in fractional coordinates, are Fe at (0.0000, 0.0000, 0.0000), Ni at (0.0000, 0.5000, 0.1223), Ni at (0.0000, 0.5000, 0.3744), Ni at (0.5000, 0.5000, 0.0000), Ni at (0.5000, 0.5000, 0.2495), Ni at (0.5000, 0.5000, 0.5000), Ge at (0.0000, 0.0000, 0.2483) and Ge at (0.0000, 0.0000, 0.5000).

The calculation puts the formation energy at -227 meV per atom.



Here is crystalline Dy2Y2TmMg5 at its relaxed geometry from Alexandria via LeMat-Bulk. Energies are from PBE.

The space group is P4/mbm (No. 127) and the conventional cell measures 10.5687, 10.5687 and 5.0387 Å, with angles of 90.00, 90.00 and 90.00 degrees. The distinct sites, in fractional coordinates, are Dy at (0.1190, 0.3810, 0.0000), Y at (0.1783, 0.6783, 0.0000), Tm at (0.0000, 0.0000, 0.0000), Mg at (0.0000, 0.5000, 0.5000) and Mg at (0.0677, 0.1968, 0.5000).

The calculation puts the formation energy at 84 meV per atom.



Here is crystalline Hf2VReN at its relaxed geometry from Alexandria via LeMat-Bulk. Energies are from PBE.

The space group is P4/mmm (No. 123) and the conventional cell measures 4.5176, 4.5176 and 3.7349 Å, with angles of 90.00, 90.00 and 90.00 degrees. The distinct sites, in fractional coordinates, are Hf at (0.0000, 0.5000, 0.0000), V at (0.0000, 0.0000, 0.5000), Re at (0.5000, 0.5000, 0.5000) and N at (0.0000, 0.0000, 0.0000).

The formation energy without anion corrections is -703 meV per atom.



Here is crystalline Zn2In2Te5 at its relaxed geometry from Alexandria via LeMat-Bulk. Energies are from PBE.

The space group is C2/m (No. 12) and the conventional cell measures 21.8487, 4.3219 and 7.3648 Å, with angles of 90.00, 106.34 and 90.00 degrees. The distinct sites, in fractional coordinates, are Zn at (0.0818, 0.0000, 0.2803), In at (0.1196, 0.5000, 0.8861), Te at (0.0000, 0.5000, 0.0000), Te at (0.1109, 0.5000, 0.5058) and Te at (0.1791, 0.0000, 0.1151).

The formation energy without anion corrections is -193 meV per atom.



Here is crystalline AcNdSbAu at its relaxed geometry from Alexandria via LeMat-Bulk. Energies are from PBE.

The space group is F-43m (No. 216) and the conventional cell measures 7.8176, 7.8176 and 7.8176 Å, with angles of 90.00, 90.00 and 90.00 degrees. The distinct sites, in fractional coordinates, are Ac at (0.0000, 0.0000, 0.0000), Nd at (0.0000, 0.0000, 0.5000), Sb at (0.2500, 0.2500, 0.2500) and Au at (0.2500, 0.2500, 0.7500).

The formation energy without anion corrections is -783 meV per atom.



Here is crystalline Th5ZrSc2 at its relaxed geometry from Alexandria via LeMat-Bulk. Energies are from PBE.

The space group is Cm (No. 8) and the conventional cell measures 6.8763, 11.4338 and 6.8903 Å, with angles of 90.00, 119.91 and 90.00 degrees. The distinct sites, in fractional coordinates, are Th at (0.0000, 0.0000, 0.0000), Th at (0.0023, 0.0000, 0.5165), Th at (0.0137, 0.5000, 0.5161), Th at (0.3472, 0.2500, 0.1960), Zr at (0.0021, 0.5000, 0.0034) and Sc at (0.3522, 0.2436, 0.7061).

The calculation puts the formation energy at 86 meV per atom.



Here is crystalline HfRe3I at its relaxed geometry from Alexandria via LeMat-Bulk. Energies are from PBE.

The space group is Pm-3m (No. 221) and the conventional cell measures 4.9163, 4.9163 and 4.9163 Å, with angles of 90.00, 90.00 and 90.00 degrees. The distinct sites, in fractional coordinates, are Hf at (0.0000, 0.0000, 0.0000), Re at (0.0000, 0.0000, 0.5000) and I at (0.5000, 0.5000, 0.5000).

The formation energy without anion corrections is 2729 meV per atom.



Total energy readings, ordered: -5.681, -5.957, -3.374, -10.663, -2.830, -4.852, -7.203, -7.041 eV/atom
Calculated volume readings, ordered: 107, 182, 563, 76, 667, 478, 470, 119 Å³ per cell
Magnetization readings, ordered: 2.33, 5.84, 0.00, 0.00, 0.00, 0.00, 0.00, 3.28 μB/f.u.